MoOF4 (PBE with a Hubbard U, optimized geometry); symmetry = No. 14; crystal system = monoclinic; density of states at the Fermi level = 0.00 states/eV per cell; uncorrected energy = -261.8 eV/cell
1.0
-4.536 -14.768 -8.791
5.182 -0.311 -2.152
2.516 -4.516 6.288
Mo F O
8 32 8
Cartesian
-1.177 -15.936 -4.596
4.339 -3.658 -0.059
-1.168 -9.553 -5.285
0.997 -7.692 -0.476
2.438 -17.364 -2.942
0.723 -2.230 -1.713
2.165 -11.902 -4.179
4.329 -10.041 0.629
-1.170 -17.807 -4.434
1.816 -18.511 -4.289
3.141 -15.746 -2.296
1.345 -1.083 -0.366
4.716 -8.819 1.999
0.020 -3.847 -2.359
2.450 -10.095 -3.767
-1.555 -10.775 -6.654
4.332 -1.787 -0.222
-3.544 -13.260 -7.213
6.706 -6.334 2.558
-1.948 -15.955 -2.795
3.075 -3.554 1.315
-1.185 -11.932 -1.935
2.839 -10.674 1.565
2.326 -3.295 -1.297
2.738 -8.308 0.206
4.347 -7.662 -2.720
-0.409 -8.978 -3.666
0.711 -9.499 -0.889
1.235 -6.247 0.700
3.811 -5.413 -0.461
0.323 -8.920 -6.220
3.571 -10.616 -0.989
1.927 -13.346 -5.355
-0.649 -14.181 -4.194
0.424 -11.286 -4.862
5.446 -8.895 -0.501
5.109 -3.639 -1.860
0.087 -16.040 -5.971
0.836 -16.299 -3.358
-2.285 -10.699 -4.154
1.663 -12.544 -2.709
0.247 -12.836 0.685
2.915 -6.758 -5.341
1.499 -7.050 -1.947
-2.577 -15.677 -5.493
-0.613 -13.599 -7.825
3.775 -5.995 3.170
5.739 -3.917 0.838